The following is a DFT calculation (PBE) of a geometry-optimized TbBe2Cu10 structure.

**E_tot**: -4.195 eV/atom
**Formation energy from the elements**: -0.11 eV per atom

Structure (POSCAR):
```
TbBe2Cu10
1.0
-0.767 -4.439 1.403
5.543 -3.173 0.923
-0.310 -0.480 6.245
Cu Tb Be
10 1 2
Direct
0.000 0.000 0.500
0.273 0.237 0.216
0.992 0.359 0.657
0.727 0.763 0.784
0.008 0.641 0.343
0.351 0.641 0.657
0.649 0.359 0.343
0.489 0.237 0.784
0.500 0.000 0.500
0.511 0.763 0.216
0.000 0.000 0.000
0.000 0.500 0.000
0.500 0.500 0.000
```

***

The following is a DFT calculation (PBE) of a geometry-optimized TbThBeCu structure.

**E_tot**: -4.923 eV/atom
**Formation energy from the elements**: 0.05 eV per atom

Structure (POSCAR):
```
TbThBeCu
1.0
-0.277 4.728 -1.479
-2.509 1.169 -4.118
-4.300 2.454 0.327
Be Th Tb Cu
1 1 1 1
Direct
0.750 0.750 0.750
0.500 0.500 0.500
0.000 0.000 0.000
0.250 0.250 0.250
```